Na2TiWF at its PBEsol-relaxed geometry. Source: the Alexandria database, functional SCAN.

Cell: 5.7912 5.7912 4.4648 Å, 90.00 90.00 90.00°
Last column: nearest neighbours and their distance in Å.
Element x y z (fractional)
Na 0.0000 0.5000 0.0000  2 W 2.90
Na 0.5000 0.0000 0.0000  2 W 2.90
Ti 0.0000 0.0000 0.5000  2 W 2.23
W 0.0000 0.0000 0.0000  2 Ti 2.23
F 0.5000 0.5000 0.5000  8 Na 3.66

Its symmetry is P4/mmm. For the volume, the calculation gives 29.9 Å³ per atom. The value obtained for the total moment is 1.54 μB per formula unit. The density of states at the Fermi level is 4.3 states/eV/f.u. As for the energy relative to the elements, uncorrected: 5.132 eV/f.u.


Ca3LaRh at its PBEsol-relaxed geometry. Source: the Alexandria database, functional SCAN.

Cell: 5.3914 5.3914 5.3914 Å, 90.00 90.00 90.00°
Last column: nearest neighbours and their distance in Å.
Element x y z (fractional)
Ca 0.0000 0.0000 0.5000  2 La 2.70
Ca 0.0000 0.5000 0.0000  2 La 2.70
Ca 0.5000 0.0000 0.0000  2 La 2.70
La 0.0000 0.0000 0.0000  6 Ca 2.70
Rh 0.5000 0.5000 0.5000  12 Ca 3.81

Its symmetry is Pm-3m. For the volume, the calculation gives 31.3 Å³ per atom. The value obtained for the total moment is 1.31 μB per formula unit. Its formation energy is 1.49 eV/atom. The density of states at the Fermi level is 6.7 states/eV/f.u.


Ca2BeTe2 at its PBEsol-relaxed geometry. Source: the Alexandria database, functional SCAN.

Cell: 8.3120 8.3120 4.0405 Å, 90.00 90.00 90.00°
Last column: nearest neighbours and their distance in Å.
Element x y z (fractional)
Ca 0.1471 0.3529 0.0000  6 Te 3.04-3.25, 2 Be 3.18
Ca 0.3529 0.8529 0.0000  6 Te 3.04-3.25, 2 Be 3.18
Ca 0.6471 0.1471 0.0000  6 Te 3.04-3.25, 2 Be 3.18
Ca 0.8529 0.6471 0.0000  6 Te 3.04-3.25, 2 Be 3.18
Be 0.0000 0.0000 0.0000  4 Ca 3.18
Be 0.5000 0.5000 0.0000  4 Ca 3.18
Te 0.1592 0.6592 0.5000  6 Ca 3.04-3.25
Te 0.3408 0.1592 0.5000  6 Ca 3.04-3.25
Te 0.6592 0.8408 0.5000  6 Ca 3.04-3.25
Te 0.8408 0.3408 0.5000  6 Ca 3.04-3.25

Its symmetry is P4/mbm. For the volume, the calculation gives 27.9 Å³ per atom. The value obtained for the total moment is 0.00 μB per formula unit. The density of states at the Fermi level is 0.2 states/eV/f.u. As for the energy relative to the elements, uncorrected: -3.327 eV/f.u.


CoAs2I at its PBEsol-relaxed geometry. Source: the Alexandria database, functional SCAN.

Cell: 4.7196 4.7196 4.7196 Å, 60.00 60.00 60.00°
Last column: nearest neighbours and their distance in Å.
Element x y z (fractional)
Co 0.0000 0.0000 0.0000  8 As 2.89
As 0.2500 0.2500 0.2500  4 Co 2.89, 4 I 2.89
As 0.7500 0.7500 0.7500  4 Co 2.89, 4 I 2.89
I 0.5000 0.5000 0.5000  8 As 2.89

Its symmetry is Fm-3m. For the volume, the calculation gives 18.6 Å³ per atom. The value obtained for the total moment is 0.00 μB per formula unit. The density of states at the Fermi level is 2.6 states/eV/f.u. As for the energy relative to the elements, uncorrected: 4.710 eV/f.u.


TlMoRh3 at its PBEsol-relaxed geometry. Source: the Alexandria database, functional SCAN.

Cell: 4.6390 4.6390 4.6390 Å, 90.00 90.00 90.00°
Last column: nearest neighbours and their distance in Å.
Element x y z (fractional)
Tl 0.0000 0.0000 0.0000  12 Rh 3.28
Mo 0.5000 0.5000 0.5000  6 Rh 2.32
Rh 0.0000 0.5000 0.5000  2 Mo 2.32
Rh 0.5000 0.0000 0.5000  2 Mo 2.32
Rh 0.5000 0.5000 0.0000  2 Mo 2.32

Its symmetry is Pm-3m. For the volume, the calculation gives 20.0 Å³ per atom. The value obtained for the total moment is 0.00 μB per formula unit. Its formation energy is 1.01 eV/atom. The density of states at the Fermi level is 4.1 states/eV/f.u.


TaCdTc2 at its PBEsol-relaxed geometry. Source: the Alexandria database, functional SCAN.

Cell: 2.7692 2.7692 8.9837 Å, 90.00 90.00 110.19°
Last column: nearest neighbours and their distance in Å.
Element x y z (fractional)
Ta 0.0000 0.0000 0.0000  4 Tc 2.63, 4 Ta 2.77
Cd 0.0000 0.0000 0.5000  4 Cd 2.77, 4 Tc 2.87
Tc 0.5000 0.5000 0.2342  2 Ta 2.63, 4 Tc 2.77, 2 Cd 2.87
Tc 0.5000 0.5000 0.7658  2 Ta 2.63, 4 Tc 2.77, 2 Cd 2.87

Its symmetry is Cmmm. For the volume, the calculation gives 16.2 Å³ per atom. The value obtained for the total moment is 0.00 μB per formula unit. Its formation energy is 0.06 eV/atom. The density of states at the Fermi level is 2.3 states/eV/f.u.


GdAsO4 at its PBEsol-relaxed geometry. Source: the Alexandria database, functional SCAN.

Cell: 6.6763 6.6763 6.6763 Å, 135.61 135.61 64.59°
Last column: nearest neighbours and their distance in Å.
Element x y z (fractional)
Gd 0.3750 0.1250 0.2500  8 O 2.36-2.41
Gd 0.6250 0.8750 0.7500  8 O 2.36-2.41
As 0.1250 0.3750 0.7500  4 O 1.72
As 0.8750 0.6250 0.2500  4 O 1.72
O 0.0575 0.7050 0.8526  1 As 1.72
O 0.2050 0.8523 0.6475  1 As 1.72
O 0.2951 0.4425 0.1475  1 As 1.72
O 0.3523 0.2049 0.6474  1 As 1.72
O 0.6477 0.7951 0.3526  1 As 1.72
O 0.7049 0.5575 0.8525  1 As 1.72
O 0.7950 0.1477 0.3525  1 As 1.72
O 0.9425 0.2950 0.1474  1 As 1.72

Its symmetry is I4_1/a. For the volume, the calculation gives 12.0 Å³ per atom. The value obtained for the total moment is 6.96 μB per formula unit. The density of states at the Fermi level is 0.0 states/eV/f.u. As for the energy relative to the elements, uncorrected: -15.392 eV/f.u. For the relative energy among the computed polymorphs, the calculation gives 0.000 eV per atom.


Tb2BiO2 at its PBEsol-relaxed geometry. Source: the Alexandria database, functional SCAN.

Cell: 7.2314 7.2314 7.2314 Å, 149.14 149.14 44.20°
Last column: nearest neighbours and their distance in Å.
Element x y z (fractional)
Tb 0.1670 0.1670 0.0000  4 O 2.22
Tb 0.8330 0.8330 0.0000  4 O 2.22
Bi 0.5000 0.5000 0.0000  8 Tb 3.52, 4 Bi 3.85, 8 O 3.86
O 0.2500 0.7500 0.5000  4 Tb 2.22
O 0.7500 0.2500 0.5000  4 Tb 2.22

Its symmetry is I4/mmm. For the volume, the calculation gives 19.8 Å³ per atom. The value obtained for the total moment is 0.00 μB per formula unit. The density of states at the Fermi level is 0.7 states/eV/f.u. As for the energy relative to the elements, uncorrected: -14.786 eV/f.u.